{"formula": "K2HoPaO5", "functional": "PBE-GGA", "state": "optimized geometry", "lattice": [[4.252, 0.000, 0.000], [0.000, 4.252, 0.000], [0.000, 0.000, 8.832]], "species": ["K", "K", "Ho", "Pa", "O", "O", "O", "O", "O"], "fractional_positions": [[0.000, 0.000, 0.221], [0.000, 0.000, 0.779], [0.500, 0.500, 0.500], [0.500, 0.500, 0.000], [0.000, 0.000, 0.500], [0.000, 0.500, 0.000], [0.500, 0.000, 0.000], [0.500, 0.500, 0.255], [0.500, 0.500, 0.745]], "e_form_raw_ev_per_atom": -2.6298, "final_energy_ev_per_atom": -7.19}

---

{"formula": "K2Ho2PbO6", "functional": "PBE-GGA", "state": "optimized geometry", "lattice": [[2.968, -5.150, 0.000], [2.968, 5.150, 0.000], [-1.886, 0.000, 6.400]], "species": ["K", "K", "Ho", "Ho", "Pb", "O", "O", "O", "O", "O", "O"], "fractional_positions": [[0.165, 0.835, 0.000], [0.835, 0.165, 0.000], [0.334, 0.666, 0.500], [0.666, 0.334, 0.500], [0.000, 0.000, 0.500], [0.051, 0.387, 0.678], [0.263, 0.263, 0.323], [0.387, 0.051, 0.678], [0.613, 0.949, 0.322], [0.737, 0.737, 0.677], [0.949, 0.613, 0.322]], "n_ef_per_ev_cell": 0.00, "e_form_raw_ev_per_atom": -2.2755, "final_energy_ev_per_atom": -6.35}

---

{"formula": "K3Ho2PbO6", "functional": "PBE-GGA", "state": "optimized geometry", "lattice": [[3.040, -5.264, 0.000], [3.040, 5.264, 0.000], [-2.026, 0.000, 6.282]], "species": ["K", "K", "K", "Ho", "Ho", "Pb", "O", "O", "O", "O", "O", "O"], "fractional_positions": [[0.000, 0.000, 0.000], [0.336, 0.664, 0.000], [0.664, 0.336, 0.000], [0.167, 0.833, 0.500], [0.833, 0.167, 0.500], [0.500, 0.500, 0.500], [0.085, 0.436, 0.308], [0.213, 0.213, 0.692], [0.436, 0.085, 0.308], [0.564, 0.915, 0.692], [0.787, 0.787, 0.308], [0.915, 0.564, 0.692]], "n_ef_per_ev_cell": 4.20, "e_form_raw_ev_per_atom": -2.2181, "final_energy_ev_per_atom": -6.04}

---

{"formula": "K2HoPdO4", "functional": "PBE-GGA", "state": "optimized geometry", "lattice": [[5.923, 0.000, 0.000], [0.000, 3.319, 0.000], [-2.265, 0.000, 6.228]], "species": ["K", "K", "Ho", "Pd", "O", "O", "O", "O"], "fractional_positions": [[0.000, 0.000, 0.000], [0.500, 0.500, 0.000], [0.000, 0.500, 0.500], [0.500, 0.000, 0.500], [0.208, 0.000, 0.710], [0.293, 0.500, 0.332], [0.707, 0.500, 0.668], [0.792, 0.000, 0.290]], "n_ef_per_ev_cell": 0.15, "e_form_raw_ev_per_atom": -1.7223, "final_energy_ev_per_atom": -5.70}

---

{"formula": "KHoPdO3", "functional": "PBE-GGA", "state": "optimized geometry", "lattice": [[1.908, -7.045, 0.000], [1.908, 7.045, 0.000], [0.000, 0.000, 8.369]], "species": ["K", "K", "Ho", "Ho", "Pd", "Pd", "O", "O", "O", "O", "O", "O"], "fractional_positions": [[0.217, 0.783, 0.750], [0.783, 0.217, 0.250], [0.500, 0.500, 0.000], [0.500, 0.500, 0.500], [0.097, 0.903, 0.250], [0.903, 0.097, 0.750], [0.099, 0.901, 0.501], [0.099, 0.901, 0.999], [0.442, 0.558, 0.750], [0.558, 0.442, 0.250], [0.901, 0.099, 0.001], [0.901, 0.099, 0.499]], "e_form_raw_ev_per_atom": -1.8365, "final_energy_ev_per_atom": -6.13}

---

{"formula": "K3PrHo2O6", "functional": "PBE-GGA", "state": "optimized geometry", "lattice": [[3.063, -5.306, 0.000], [3.063, 5.306, 0.000], [-2.040, 0.000, 6.280]], "species": ["K", "K", "K", "Pr", "Ho", "Ho", "O", "O", "O", "O", "O", "O"], "fractional_positions": [[0.000, 0.000, 0.000], [0.331, 0.669, 0.000], [0.669, 0.331, 0.000], [0.500, 0.500, 0.500], [0.167, 0.833, 0.500], [0.833, 0.167, 0.500], [0.091, 0.438, 0.313], [0.215, 0.215, 0.687], [0.438, 0.091, 0.313], [0.562, 0.909, 0.687], [0.785, 0.785, 0.313], [0.909, 0.562, 0.687]], "n_ef_per_ev_cell": 0.00, "e_form_raw_ev_per_atom": -2.7053, "final_energy_ev_per_atom": -6.62}

---

{"formula": "KHoPtO4", "functional": "PBE-GGA", "state": "optimized geometry", "lattice": [[-3.308, 3.541, 4.663], [3.308, -3.541, 4.663], [3.308, 3.541, -4.663]], "species": ["K", "K", "Ho", "Ho", "Pt", "Pt", "O", "O", "O", "O", "O", "O", "O", "O"], "fractional_positions": [[0.382, 0.132, 0.250], [0.618, 0.868, 0.750], [0.000, 0.500, 0.500], [0.500, 0.500, 0.000], [0.000, 0.000, 0.500], [0.000, 0.500, 0.000], [0.175, 0.745, 0.431], [0.186, 0.255, 0.931], [0.223, 0.262, 0.539], [0.223, 0.684, 0.961], [0.777, 0.316, 0.039], [0.777, 0.738, 0.461], [0.814, 0.745, 0.069], [0.825, 0.255, 0.569]], "e_form_raw_ev_per_atom": -1.7783, "final_energy_ev_per_atom": -6.29}

---

{"formula": "K3Ho2PtO6", "functional": "PBE-GGA", "state": "optimized geometry", "lattice": [[2.921, -5.127, 0.000], [2.921, 5.127, 0.000], [-1.859, 0.000, 6.216]], "species": ["K", "K", "K", "Ho", "Ho", "Pt", "O", "O", "O", "O", "O", "O"], "fractional_positions": [[0.000, 0.000, 0.000], [0.341, 0.659, 0.000], [0.659, 0.341, 0.000], [0.170, 0.830, 0.500], [0.830, 0.170, 0.500], [0.500, 0.500, 0.500], [0.094, 0.435, 0.303], [0.243, 0.243, 0.675], [0.435, 0.094, 0.303], [0.565, 0.906, 0.697], [0.757, 0.757, 0.325], [0.906, 0.565, 0.697]], "e_form_raw_ev_per_atom": -2.0469, "final_energy_ev_per_atom": -6.07}